Record 1
The following is a PBE-GGA calculation of a relaxed structure of K2Pr2PbO6, from the Alexandria database.

Output
E_form (uncorrected)	-23.2	eV per formula unit
electronic total energy	-68.36	eV/cell
magnetic moment	0.0	μB/cell
space group	C2/m

Cell lengths 6.222, 6.222, 6.694 Å; angles 97.83, 97.83, 119.97 degrees
Fractional coordinates of all 11 atoms:
K (0.841, 0.159, 0.000)
K (0.159, 0.841, 0.000)
Pr (0.335, 0.665, 0.500)
Pr (0.665, 0.335, 0.500)
Pb (0.000, 0.000, 0.500)
O (0.753, 0.753, 0.682)
O (0.045, 0.371, 0.680)
O (0.247, 0.247, 0.318)
O (0.371, 0.045, 0.680)
O (0.955, 0.629, 0.320)
O (0.629, 0.955, 0.320)

---

Record 2
The following is a PBE-GGA calculation of a relaxed structure of ZnBIr3, from the Alexandria database.

Output
electronic total energy	-22.44	eV/cell
magnetic moment	0.0	μB/cell
space group	Pm-3m
calculated formation energy	2.419	eV/atom

Cell lengths 4.490, 4.490, 4.490 Å; angles 90.00, 90.00, 90.00 degrees
Fractional coordinates of all 5 atoms:
Zn (0.000, 0.000, 0.000)
Ir (0.000, 0.500, 0.000)
Ir (0.000, 0.000, 0.500)
Ir (0.500, 0.000, 0.000)
B (0.500, 0.500, 0.500)

---

Record 3
The following is a PBE-GGA calculation of a relaxed structure of NdDy2OsO8, from the Alexandria database.

Output
E_form (uncorrected)	-30.0	eV per formula unit
electronic total energy	-94.84	eV/cell
magnetic moment	1.0	μB/cell
space group	Cmmm

Cell lengths 5.079, 5.077, 6.886 Å; angles 90.00, 90.00, 89.52 degrees
Fractional coordinates of all 12 atoms:
Nd (0.000, 0.000, 0.500)
Dy (0.500, 0.500, 0.748)
Dy (0.500, 0.500, 0.252)
Os (0.000, 0.000, 0.000)
O (0.185, 0.814, 0.203)
O (0.739, 0.739, 0.000)
O (0.815, 0.186, 0.203)
O (0.815, 0.186, 0.797)
O (0.261, 0.261, 0.000)
O (0.185, 0.814, 0.797)
O (0.684, 0.685, 0.500)
O (0.316, 0.315, 0.500)

---

Record 4
The following is a PBE-GGA calculation of a relaxed structure of Ac2Zn2Ru, from the Alexandria database.

Output
electronic total energy	-42.50	eV/cell
magnetic moment	0.0	μB/cell
space group	C2/m
calculated formation energy	-0.242	eV/atom

Cell lengths 4.179, 6.114, 11.157 Å; angles 79.08, 79.21, 70.01 degrees
Fractional coordinates of all 10 atoms:
Ac (0.303, 0.266, 0.129)
Ac (0.502, 0.337, 0.659)
Ac (0.697, 0.734, 0.871)
Ac (0.498, 0.663, 0.341)
Zn (0.982, 0.146, 0.890)
Zn (0.192, 0.168, 0.448)
Zn (0.018, 0.854, 0.110)
Zn (0.808, 0.832, 0.552)
Ru (0.808, 0.072, 0.313)
Ru (0.192, 0.928, 0.687)

---

Record 5
The following is a PBE-GGA calculation of a relaxed structure of CaCd2Ir2, from the Alexandria database.

Output
electronic total energy	-42.95	eV/cell
magnetic moment	0.0	μB/cell
space group	P4/mbm
calculated formation energy	0.016	eV/atom

Cell lengths 7.829, 7.829, 3.194 Å; angles 90.00, 90.00, 90.00 degrees
Fractional coordinates of all 10 atoms:
Ca (0.000, 0.000, 0.000)
Ca (0.500, 0.500, 0.000)
Ir (0.377, 0.877, 0.000)
Ir (0.877, 0.623, 0.000)
Ir (0.623, 0.123, 0.000)
Ir (0.123, 0.377, 0.000)
Cd (0.173, 0.673, 0.500)
Cd (0.673, 0.827, 0.500)
Cd (0.827, 0.327, 0.500)
Cd (0.327, 0.173, 0.500)

---

Record 6
The following is a PBE-GGA calculation of a relaxed structure of Na2NdCuCl6, from the Alexandria database.

Output
E_form (uncorrected)	-15.2	eV per formula unit
electronic total energy	-37.82	eV/cell
magnetic moment	0.1	μB/cell
space group	Fm-3m

Cell lengths 7.372, 7.372, 7.372 Å; angles 60.00, 60.00, 60.00 degrees
Fractional coordinates of all 10 atoms:
Na (0.750, 0.750, 0.750)
Na (0.250, 0.250, 0.250)
Nd (0.000, 0.000, 0.000)
Cu (0.500, 0.500, 0.500)
Cl (0.260, 0.740, 0.260)
Cl (0.740, 0.260, 0.260)
Cl (0.740, 0.260, 0.740)
Cl (0.260, 0.260, 0.740)
Cl (0.740, 0.740, 0.260)
Cl (0.260, 0.740, 0.740)

---

V / A^3/atom: 19.639; 18.104; 14.798; 26.074; 19.575; 28.334